Pr5NdHo5 | PBE-GGA | relaxed

Cell: 6.0483 10.0091 7.0828 Å, 110.51 90.00 107.59°
With the nearest neighbours (Å) after each atom.
Sites, in units of the cell vectors:
Ho  0.6697  0.3394  0.1709  3 Pr 3.01-3.29
Ho  0.3776  0.7551  0.3761  4 Ho 3.64-3.72, 6 Pr 3.65-3.97
Ho  0.3303  0.6606  0.8291  3 Pr 3.01-3.29
Ho  0.0000  0.0000  0.5000  2 Nd 3.54, 4 Pr 3.60-3.62, 4 Ho 3.72
Ho  0.6224  0.2449  0.6239  4 Ho 3.64-3.72, 6 Pr 3.65-3.97
Pr  0.8240  0.6481  0.0674  6 Ho 3.29-3.65, 2 Pr 3.45-3.63, 1 Nd 3.56
Pr  0.1760  0.3520  0.4201  6 Ho 3.29-3.65, 2 Pr 3.45-3.63, 1 Nd 3.58
Pr  0.5000  0.0000  0.0000  2 Ho 3.01, 2 Nd 3.02
Pr  0.1760  0.3519  0.9326  6 Ho 3.29-3.65, 2 Pr 3.45-3.63, 1 Nd 3.56
Pr  0.8240  0.6480  0.5799  6 Ho 3.29-3.65, 2 Pr 3.45-3.63, 1 Nd 3.58
Nd  0.0000  0.0000  0.0000  2 Pr 3.02

Summary:
Uncorrected energy: -48.794 eV for the cell shown
Formation energy: 2.76 eV per formula unit
Energy above the most stable polymorph in this dataset: 0.0 meV/atom